Below is TbNd5Ho4 after structural relaxation, with properties calculated at the GGA-PBE level. Values from VASP.

The value obtained for the distance to the lowest polymorph of the same formula is 144.3 meV per atom. The value obtained for the spin magnetization is 0.00 μB per formula unit. Its calculated density is 7.45 g/cm³. The value obtained for the formation energy from the elements is 161 meV/atom.

Geometry as Quantum ESPRESSO input:
```
&SYSTEM
  ibrav = 0, nat = 20, ntyp = 3
/
ATOMIC_SPECIES
Tb 158.93 Tb.upf
Nd 144.24 Nd.upf
Ho 164.93 Ho.upf
CELL_PARAMETERS angstrom
8.281 0.000 0.000
0.000 9.253 0.000
0.000 0.000 8.953
ATOMIC_POSITIONS crystal
Tb 0.880 0.000 0.000
Tb 0.120 0.500 0.500
Nd 0.194 0.815 0.791
Nd 0.194 0.185 0.791
Nd 0.018 0.500 0.000
Nd 0.194 0.815 0.209
Nd 0.194 0.185 0.209
Nd 0.806 0.685 0.291
Nd 0.806 0.315 0.291
Nd 0.982 0.000 0.500
Nd 0.806 0.315 0.709
Nd 0.806 0.685 0.709
Ho 0.590 0.000 0.692
Ho 0.546 0.804 0.000
Ho 0.546 0.196 0.000
Ho 0.590 0.000 0.308
Ho 0.410 0.500 0.192
Ho 0.454 0.696 0.500
Ho 0.454 0.304 0.500
Ho 0.410 0.500 0.808
```